[1]
Computed, not measured: a relaxed structure of BaZn2Ru at the PBE-GGA level of DFT.

Summary:
energy of formation from the pure elements: 1.00 eV per formula unit

abc: 5.8354 5.8354 5.8354
angles: 144.83 123.96 67.91
Fractional positions:
1 Ba 0.0000 0.0000 0.0000
2 Zn 0.3098 0.8098 0.5000
3 Zn 0.6902 0.1902 0.5000
4 Ru 0.5000 0.5000 0.0000

[2]
Computed, not measured: a relaxed structure of BaZn2Ru at the PBE-GGA level of DFT.

Summary:
energy of formation from the pure elements: 1.71 eV per formula unit

abc: 5.6992 5.6992 5.6992
angles: 144.81 124.12 67.78
Fractional positions:
1 Ba 0.0000 0.0000 0.0000
2 Zn 0.2951 0.7951 0.5000
3 Zn 0.5305 0.5305 0.0000
4 Ru 0.7262 0.2262 0.5000

[3]
Computed, not measured: a relaxed structure of BaZn2Ru at the PBE-GGA level of DFT.

Summary:
energy of formation from the pure elements: -0.11 eV per formula unit

abc: 4.4388 4.4388 6.2521
angles: 110.68 110.68 59.98
Fractional positions:
1 Ba 0.0000 0.0000 0.0000
2 Zn 0.1840 0.1840 0.5548
3 Zn 0.4882 0.4882 0.4671
4 Ru 0.8124 0.8124 0.4396

[4]
Computed, not measured: a relaxed structure of BaZn2Ru at the PBE-GGA level of DFT.

Summary:
energy of formation from the pure elements: 2.24 eV per formula unit

abc: 5.0651 5.0651 3.4629
angles: 90.15 90.15 111.57
Fractional positions:
1 Ba 0.0000 0.0000 0.0000
2 Zn 0.0000 0.5000 0.5000
3 Zn 0.5000 0.0000 0.5000
4 Ru 0.5000 0.5000 0.0000

| no. | mass density (g cm⁻³) |
| --- | --- |
| 1 | 6.55 |
| 2 | 7.04 |
| 3 | 6.30 |
| 4 | 7.42 |